## Ho2AlIn5 (GGA-PBE)

Data for a relaxed structure of Ho2AlIn5.

```
Ho2AlIn5
1.0
5.097 0.000 0.000
0.000 3.272 5.719
0.000 -3.272 5.719
Ho Al In
2 1 5
direct
0.000 0.000 0.000
0.500 0.339 0.339
0.000 0.512 0.512
0.000 0.504 0.990
0.000 0.990 0.504
0.500 0.347 0.823
0.500 0.823 0.347
0.500 0.829 0.829
```

Computed properties:
Spin magnetization = 0.00 μB per cell
Total DFT energy (no corrections) = -3.636 eV per atom
Symmetry = No. 38